! PBE AcEuHoTl, optimized geometry; values from VASP
&SYSTEM
  ibrav = 0, nat = 4, ntyp = 4
/
ATOMIC_SPECIES
Eu 151.96 Eu.upf
Ac 227.00 Ac.upf
Tl 204.38 Tl.upf
Ho 164.93 Ho.upf
ATOMIC_POSITIONS angstrom
Eu 2.868 1.656 1.171
Ac 5.736 3.312 2.342
Tl 0.000 0.000 0.000
Ho 8.604 4.968 3.513
CELL_PARAMETERS angstrom
5.736 0.000 0.000
2.868 4.968 0.000
2.868 1.656 4.684
! formation enthalpy at 0 K = 4 kJ per mole of atoms
! M_tot = 2.057 μB per atom
! symmetry = No. 216
! density of states at the Fermi level = 1.6149 states/eV per atom

***

! PBE Nd2DyY6Th3, optimized geometry; values from VASP
&SYSTEM
  ibrav = 0, nat = 12, ntyp = 4
/
ATOMIC_SPECIES
Nd 144.24 Nd.upf
Dy 162.50 Dy.upf
Y 88.91 Y.upf
Th 232.04 Th.upf
ATOMIC_POSITIONS angstrom
Nd 0.003 3.596 0.002
Nd 3.114 1.800 0.002
Dy 0.000 0.000 0.000
Y 3.110 1.791 8.644
Y 2.076 3.595 2.978
Y -1.040 1.794 2.973
Y -0.003 3.589 8.644
Y -0.006 -0.010 8.639
Y 2.073 -0.004 2.973
Th -2.077 3.590 5.808
Th 4.147 -0.005 5.808
Th 1.035 1.792 5.808
CELL_PARAMETERS angstrom
6.231 -0.001 0.002
-3.115 5.397 0.002
-1.046 -1.811 11.612
! formation enthalpy at 0 K = 2 kJ per mole of atoms
! M_tot = 0.000 μB per atom
! symmetry = No. 12
! density of states at the Fermi level = 1.4532 states/eV per atom

***

! PBE RbAl2TlBr8, optimized geometry; values from VASP
&SYSTEM
  ibrav = 0, nat = 12, ntyp = 4
/
ATOMIC_SPECIES
Rb 85.47 Rb.upf
Al 26.98 Al.upf
Tl 204.38 Tl.upf
Br 79.90 Br.upf
ATOMIC_POSITIONS angstrom
Rb 7.191 4.152 5.150
Al 3.595 2.076 2.768
Al 10.786 6.227 7.532
Tl 0.000 0.000 0.000
Br 3.595 2.076 5.080
Br 5.780 2.382 1.997
Br 10.786 6.227 5.219
Br 9.429 3.814 1.997
Br 4.953 4.489 8.303
Br 6.364 6.258 1.997
Br 8.017 2.045 8.303
Br 8.602 5.921 8.303
CELL_PARAMETERS angstrom
7.191 0.000 0.000
3.595 6.227 0.000
3.595 2.076 10.299
! uncorrected formation energy = -1.242 eV/atom
! M_tot = 0.000 μB per atom
! symmetry = No. 148
! density of states at the Fermi level = 0.0000 states/eV per atom

***

! PBE Nd8Mg2Ag, optimized geometry; values from VASP
&SYSTEM
  ibrav = 0, nat = 11, ntyp = 3
/
ATOMIC_SPECIES
Nd 144.24 Nd.upf
Mg 24.30 Mg.upf
Ag 107.87 Ag.upf
ATOMIC_POSITIONS angstrom
Nd 0.000 1.728 7.367
Nd 2.739 5.925 3.069
Nd 2.739 3.519 5.631
Nd 2.739 -0.913 8.561
Nd 0.000 0.912 3.529
Nd 0.000 -1.495 6.091
Nd 2.739 2.703 1.793
Nd 0.000 5.344 0.598
Mg 2.739 0.330 5.569
Mg 0.000 4.100 3.591
Ag 2.739 0.000 0.000
CELL_PARAMETERS angstrom
5.478 0.000 0.000
0.000 7.133 0.291
-2.739 -2.703 8.868
! formation enthalpy at 0 K = 0 kJ per mole of atoms
! M_tot = 0.000 μB per atom
! symmetry = No. 12
! density of states at the Fermi level = 1.0944 states/eV per atom

***

! PBE AcCu2SiPt4, optimized geometry; values from VASP
&SYSTEM
  ibrav = 0, nat = 8, ntyp = 4
/
ATOMIC_SPECIES
Ac 227.00 Ac.upf
Cu 63.55 Cu.upf
Si 28.09 Si.upf
Pt 195.08 Pt.upf
ATOMIC_POSITIONS angstrom
Ac 0.000 0.000 0.000
Cu 6.479 3.741 6.354
Cu 2.160 1.247 2.397
Si 4.319 2.494 4.376
Pt 4.319 2.494 6.764
Pt 6.479 3.741 3.590
Pt 2.160 1.247 5.162
Pt 4.319 2.494 1.987
CELL_PARAMETERS angstrom
4.319 0.000 0.000
2.160 3.741 0.000
2.160 1.247 8.751
! uncorrected formation energy = -0.588 eV/atom
! M_tot = 0.000 μB per atom
! symmetry = No. 166
! density of states at the Fermi level = 0.5716 states/eV per atom

***

! PBE PmPaBi6, optimized geometry; values from VASP
&SYSTEM
  ibrav = 0, nat = 8, ntyp = 3
/
ATOMIC_SPECIES
Pm 145.00 Pm.upf
Pa 231.04 Pa.upf
Bi 208.98 Bi.upf
ATOMIC_POSITIONS angstrom
Pm 2.542 -3.158 2.906
Pa 2.263 -2.535 7.822
Bi -0.618 -3.211 1.861
Bi 5.453 -2.497 8.916
Bi 4.227 -3.930 5.662
Bi 0.650 -1.797 5.185
Bi 3.863 -5.262 9.187
Bi 0.682 -0.312 1.116
CELL_PARAMETERS angstrom
-3.824 -1.247 1.990
0.583 -4.256 -1.548
8.299 -2.300 9.448
! formation enthalpy at 0 K = -22 kJ per mole of atoms
! M_tot = 0.000 μB per atom
! symmetry = No. 38
! density of states at the Fermi level = 0.8104 states/eV per atom

***

- Which formula does entry 1 have?
  AcEuHoTl

***

What did the second record say?
! PBE Nd2DyY6Th3, optimized geometry; values from VASP
&SYSTEM
  ibrav = 0, nat = 12, ntyp = 4
/
ATOMIC_SPECIES
Nd 144.24 Nd.upf
Dy 162.50 Dy.upf
Y 88.91 Y.upf
Th 232.04 Th.upf
ATOMIC_POSITIONS angstrom
Nd 0.003 3.596 0.002
Nd 3.114 1.800 0.002
Dy 0.000 0.000 0.000
Y 3.110 1.791 8.644
Y 2.076 3.595 2.978
Y -1.040 1.794 2.973
Y -0.003 3.589 8.644
Y -0.006 -0.010 8.639
Y 2.073 -0.004 2.973
Th -2.077 3.590 5.808
Th 4.147 -0.005 5.808
Th 1.035 1.792 5.808
CELL_PARAMETERS angstrom
6.231 -0.001 0.002
-3.115 5.397 0.002
-1.046 -1.811 11.612
! formation enthalpy at 0 K = 2 kJ per mole of atoms
! M_tot = 0.000 μB per atom
! symmetry = No. 12
! density of states at the Fermi level = 1.4532 states/eV per atom